Material: KV3Se4O12
Method: DFT, GGA+U
State: relaxed

a = 11.5257 Å, b = 11.5257 Å, c = 7.6920 Å
α = 90.00°, β = 90.00°, γ = 120.00°
With the nearest neighbours (Å) after each atom.
Space group R32 (No. 155, hexagonal axes)
Asymmetric unit:
K1 0.0000 0.0000 0.0000 (multiplicity 3)  6 O 2.98
V1 0.0000 0.5835 0.0000 (multiplicity 9)  6 O 1.87-2.06
Se1 0.0000 0.0000 0.5000 (multiplicity 3)  3 O 1.98
Se2 0.0000 0.3899 0.5000 (multiplicity 9)  2 O 1.80
O1 0.0000 0.6143 0.5000 (multiplicity 9)  2 V 1.87
O2 0.0000 0.8280 0.5000 (multiplicity 9)  1 Se 1.98, 2 V 2.06
O3 0.0822 0.2490 0.2042 (multiplicity 18)  1 Se 1.80, 1 V 1.95

## Properties
Electronic total energy (eV/atom): -5.956
Size of the total moment (μB/cell): 5.86